(1)
NbGePt after structural relaxation, computed with PBEsol.

Its magnetization is 0.00 μB per formula unit. Its space group is Pnma, No. 62. Its formation energy is -56.7 kJ/mol of atoms.

abc: 6.4213 3.9357 7.4965
angles: 90.00 90.00 90.00
Last column: nearest neighbours and their distance in Å.
Positions (direct):
Nb 0.0291 0.2500 0.1719  5 Ge 2.67-2.83, 3 Pt 2.95-2.99
Nb 0.4709 0.7500 0.6719  5 Ge 2.67-2.83, 3 Pt 2.95-2.99
Nb 0.5291 0.2500 0.3281  5 Ge 2.67-2.83, 3 Pt 2.95-2.99
Nb 0.9709 0.7500 0.8281  5 Ge 2.67-2.83, 3 Pt 2.95-2.99
Ge 0.2393 0.7500 0.3754  4 Pt 2.44-2.56, 3 Nb 2.67-2.73
Ge 0.2607 0.2500 0.8754  4 Pt 2.44-2.56, 3 Nb 2.67-2.73
Ge 0.7393 0.7500 0.1246  4 Pt 2.44-2.56, 3 Nb 2.67-2.73
Ge 0.7607 0.2500 0.6246  4 Pt 2.44-2.56, 3 Nb 2.67-2.73
Pt 0.1526 0.2500 0.5630  4 Ge 2.44-2.56
Pt 0.3474 0.7500 0.0630  4 Ge 2.44-2.56
Pt 0.6526 0.2500 0.9370  4 Ge 2.44-2.56
Pt 0.8474 0.7500 0.4370  4 Ge 2.44-2.56

---

(2)
Al3TlRu after structural relaxation, computed with PBEsol.

Its magnetization is 0.00 μB per formula unit. Its space group is Pm-3m, No. 221. Its formation energy is -1.6 kJ/mol of atoms.

abc: 4.7494 4.7494 4.7494
angles: 90.00 90.00 90.00
Last column: nearest neighbours and their distance in Å.
Positions (direct):
Al 0.0000 0.0000 0.5000  2 Ru 2.37
Al 0.0000 0.5000 0.0000  2 Ru 2.37
Al 0.5000 0.0000 0.0000  2 Ru 2.37
Tl 0.5000 0.5000 0.5000  12 Al 3.36
Ru 0.0000 0.0000 0.0000  6 Al 2.37

---

(3)
Ca2P2Ru after structural relaxation, computed with PBEsol.

Its magnetization is 1.43 μB per formula unit. Its space group is I4/mmm, No. 139. Its formation energy is 34.2 kJ/mol of atoms.

abc: 4.3481 4.3481 10.8749
angles: 90.00 90.00 90.00
Last column: nearest neighbours and their distance in Å.
Positions (direct):
Ca 0.0000 0.5000 0.2500  4 P 2.75, 4 Ca 3.07
Ca 0.0000 0.5000 0.7500  4 P 2.75, 4 Ca 3.07
Ca 0.5000 0.0000 0.2500  4 P 2.75, 4 Ca 3.07
Ca 0.5000 0.0000 0.7500  4 P 2.75, 4 Ca 3.07
P 0.0000 0.0000 0.0948  1 P 2.06
P 0.0000 0.0000 0.9052  1 P 2.06
P 0.5000 0.5000 0.4052  1 P 2.06
P 0.5000 0.5000 0.5948  1 P 2.06
Ru 0.0000 0.0000 0.5000  8 P 3.24, 8 Ca 3.48
Ru 0.5000 0.5000 0.0000  8 P 3.24, 8 Ca 3.48

---

(4)
ZnCo2Mo after structural relaxation, computed with PBEsol.

Its magnetization is 1.49 μB per formula unit. Its space group is P4/mmm, No. 123. Its formation energy is 11.1 kJ/mol of atoms.

abc: 4.1953 4.1953 2.7511
angles: 90.00 90.00 90.00
Last column: nearest neighbours and their distance in Å.
Positions (direct):
Zn 0.0000 0.0000 0.0000  8 Co 2.51, 2 Zn 2.75
Co 0.0000 0.5000 0.5000  4 Mo 2.51, 4 Zn 2.51, 2 Co 2.75
Co 0.5000 0.0000 0.5000  4 Mo 2.51, 4 Zn 2.51, 2 Co 2.75
Mo 0.5000 0.5000 0.0000  8 Co 2.51, 2 Mo 2.75

---

(5)
RbSr3Pt after structural relaxation, computed with PBEsol.

Its magnetization is 0.00 μB per formula unit. Its space group is Pm-3m, No. 221. Its formation energy is -30.9 kJ/mol of atoms.

abc: 6.0468 6.0468 6.0468
angles: 90.00 90.00 90.00
Last column: nearest neighbours and their distance in Å.
Positions (direct):
Rb 0.0000 0.0000 0.0000  12 Sr 4.28
Sr 0.0000 0.5000 0.5000  2 Pt 3.02
Sr 0.5000 0.0000 0.5000  2 Pt 3.02
Sr 0.5000 0.5000 0.0000  2 Pt 3.02
Pt 0.5000 0.5000 0.5000  6 Sr 3.02

---

(6)
Ca2CrBAu after structural relaxation, computed with PBEsol.

Its magnetization is 4.95 μB per formula unit. Its space group is P4/mmm, No. 123. Its formation energy is 29.1 kJ/mol of atoms.

abc: 5.2570 5.2570 4.0480
angles: 90.00 90.00 90.00
Last column: nearest neighbours and their distance in Å.
Positions (direct):
Ca 0.0000 0.5000 0.0000  2 B 2.63
Ca 0.5000 0.0000 0.0000  2 B 2.63
Cr 0.0000 0.0000 0.5000  8 Ca 3.32
B 0.5000 0.5000 0.0000  2 Au 2.02
Au 0.5000 0.5000 0.5000  2 B 2.02

---

(7)
Zr3TlW after structural relaxation, computed with PBEsol.

Its magnetization is 0.00 μB per formula unit. Its space group is Pm-3m, No. 221. Its formation energy is 74.0 kJ/mol of atoms.

abc: 5.0349 5.0349 5.0349
angles: 90.00 90.00 90.00
Last column: nearest neighbours and their distance in Å.
Positions (direct):
Zr 0.0000 0.0000 0.5000  2 W 2.52
Zr 0.0000 0.5000 0.0000  2 W 2.52
Zr 0.5000 0.0000 0.0000  2 W 2.52
Tl 0.5000 0.5000 0.5000  12 Zr 3.56
W 0.0000 0.0000 0.0000  6 Zr 2.52

---

(8)
SrCaSc2 after structural relaxation, computed with PBEsol.

Its magnetization is 2.12 μB per formula unit. Its space group is I-4m2, No. 119. Its formation energy is 32.9 kJ/mol of atoms.

abc: 5.1575 5.1575 9.6761
angles: 90.00 90.00 90.00
Last column: nearest neighbours and their distance in Å.
Positions (direct):
Sr 0.0000 0.0000 0.0000  4 Ca 3.54, 8 Sc 3.54-3.65
Sr 0.5000 0.5000 0.5000  4 Ca 3.54, 8 Sc 3.54-3.65
Ca 0.0000 0.5000 0.2500  8 Sc 3.54-3.65, 4 Sr 3.54
Ca 0.5000 0.0000 0.7500  8 Sc 3.54-3.65, 4 Sr 3.54
Sc 0.0000 0.0000 0.5000  4 Ca 3.54, 4 Sc 3.54, 4 Sr 3.65
Sc 0.0000 0.5000 0.7500  4 Sc 3.54, 4 Sr 3.54, 4 Ca 3.65
Sc 0.5000 0.0000 0.2500  4 Sc 3.54, 4 Sr 3.54, 4 Ca 3.65
Sc 0.5000 0.5000 0.0000  4 Ca 3.54, 4 Sc 3.54, 4 Sr 3.65

---

(9)
CrRuN2 after structural relaxation, computed with PBEsol.

Its magnetization is 0.00 μB per formula unit. Its space group is Fm-3m, No. 225. The energy comes out at -141.98 eV for the cell shown.

abc: 5.1235 5.1235 5.1235
angles: 90.00 90.00 90.00
Last column: nearest neighbours and their distance in Å.
Positions (direct):
Cr 0.0000 0.0000 0.0000  8 N 2.22
Cr 0.0000 0.5000 0.5000  8 N 2.22
Cr 0.5000 0.0000 0.5000  8 N 2.22
Cr 0.5000 0.5000 0.0000  8 N 2.22
Ru 0.0000 0.0000 0.5000  8 N 2.22
Ru 0.0000 0.5000 0.0000  8 N 2.22
Ru 0.5000 0.0000 0.0000  8 N 2.22
Ru 0.5000 0.5000 0.5000  8 N 2.22
N 0.2500 0.2500 0.2500  4 Cr 2.22, 4 Ru 2.22
N 0.2500 0.2500 0.7500  4 Cr 2.22, 4 Ru 2.22
N 0.2500 0.7500 0.2500  4 Cr 2.22, 4 Ru 2.22
N 0.2500 0.7500 0.7500  4 Cr 2.22, 4 Ru 2.22
N 0.7500 0.2500 0.2500  4 Cr 2.22, 4 Ru 2.22
N 0.7500 0.2500 0.7500  4 Cr 2.22, 4 Ru 2.22
N 0.7500 0.7500 0.2500  4 Cr 2.22, 4 Ru 2.22
N 0.7500 0.7500 0.7500  4 Cr 2.22, 4 Ru 2.22

---

(10)
La2AlIn after structural relaxation, computed with PBEsol.

Its magnetization is 0.00 μB per formula unit. Its space group is R-3m, No. 166. Its formation energy is -16.4 kJ/mol of atoms.

abc: 3.7555 3.7555 29.3484
angles: 90.00 90.00 120.00
Last column: nearest neighbours and their distance in Å.
Positions (direct):
La 0.0000 0.0000 0.2455  3 Al 3.17, 3 In 3.37
La 0.0000 0.0000 0.7545  3 Al 3.17, 3 In 3.37
La 0.3333 0.6667 0.4212  3 Al 3.17, 3 In 3.37
La 0.3333 0.6667 0.9121  3 Al 3.17, 3 In 3.37
La 0.6667 0.3333 0.0879  3 Al 3.17, 3 In 3.37
La 0.6667 0.3333 0.5788  3 Al 3.17, 3 In 3.37
Al 0.0000 0.0000 0.5000  6 La 3.17
Al 0.3333 0.6667 0.1667  6 La 3.17
Al 0.6667 0.3333 0.8333  6 La 3.17
In 0.0000 0.0000 0.0000  6 La 3.37, 6 In 3.76
In 0.3333 0.6667 0.6667  6 La 3.37, 6 In 3.76
In 0.6667 0.3333 0.3333  6 La 3.37, 6 In 3.76

---

(11)
LaTeI2N after structural relaxation, computed with PBEsol.

Its magnetization is 0.28 μB per formula unit. Its space group is P4/mmm, No. 123. The energy comes out at -19.97 eV for the cell shown.

abc: 6.1966 6.1966 3.9853
angles: 90.00 90.00 90.00
Last column: nearest neighbours and their distance in Å.
Positions (direct):
La 0.0000 0.0000 0.0000  8 I 3.68, 2 La 3.99
Te 0.5000 0.5000 0.5000  2 N 1.99
I 0.0000 0.5000 0.5000  2 Te 3.10
I 0.5000 0.0000 0.5000  2 Te 3.10
N 0.5000 0.5000 0.0000  2 Te 1.99

---

(12)
HfZn2Cr2 after structural relaxation, computed with PBEsol.

Its magnetization is 0.00 μB per formula unit. Its space group is I4/mmm, No. 139. Its formation energy is 16.5 kJ/mol of atoms.

abc: 3.4882 3.4882 11.7134
angles: 90.00 90.00 90.00
Last column: nearest neighbours and their distance in Å.
Positions (direct):
Hf 0.0000 0.0000 0.0000  8 Zn 2.74
Hf 0.5000 0.5000 0.5000  8 Zn 2.74
Zn 0.0000 0.0000 0.3991  1 Zn 2.36, 4 Cr 2.47
Zn 0.0000 0.0000 0.6009  1 Zn 2.36, 4 Cr 2.47
Zn 0.5000 0.5000 0.1009  1 Zn 2.36, 4 Cr 2.47
Zn 0.5000 0.5000 0.8991  1 Zn 2.36, 4 Cr 2.47
Cr 0.0000 0.5000 0.2500  4 Cr 2.47, 4 Zn 2.47
Cr 0.0000 0.5000 0.7500  4 Cr 2.47, 4 Zn 2.47
Cr 0.5000 0.0000 0.2500  4 Cr 2.47, 4 Zn 2.47
Cr 0.5000 0.0000 0.7500  4 Cr 2.47, 4 Zn 2.47

---

(13)
V3CuP4O16 after structural relaxation, computed with PBEsol.

Its magnetization is 4.00 μB per formula unit. Its space group is Pm, No. 6. The energy comes out at -190.32 eV for the cell shown.

abc: 4.7911 5.7392 9.7813
angles: 90.00 90.86 90.00
Last column: nearest neighbours and their distance in Å.
Positions (direct):
V 0.0000 0.0000 0.0000  6 O 1.89-2.00
V 0.0808 0.5000 0.5449  6 O 1.88-2.06
V 0.5862 0.0000 0.5067  6 O 1.91-2.06
Cu 0.4844 0.5000 0.0525  4 O 1.89-2.07
P 0.1552 0.0000 0.6836  4 O 1.51-1.59
P 0.4302 0.0000 0.1772  4 O 1.52-1.57
P 0.6421 0.5000 0.3671  4 O 1.49-1.60
P 0.9816 0.5000 0.8676  4 O 1.51-1.57
O 0.2296 0.0000 0.8346  1 P 1.51
O 0.2647 0.2033 0.1066  1 P 1.57
O 0.2647 0.7967 0.1066  1 P 1.57
O 0.2955 0.5000 0.8810  1 P 1.51
O 0.3006 0.2072 0.6040  1 P 1.59
O 0.3006 0.7928 0.6040  1 P 1.59
O 0.3306 0.5000 0.3967  1 P 1.52
O 0.3988 0.0000 0.3323  1 P 1.53
O 0.7065 0.5000 0.2182  1 P 1.49
O 0.7389 0.0000 0.1435  1 P 1.52
O 0.7943 0.2930 0.4487  1 P 1.60
O 0.7943 0.7070 0.4487  1 P 1.60
O 0.8414 0.0000 0.6583  1 P 1.52
O 0.8407 0.2835 0.9371  1 P 1.57
O 0.8407 0.7165 0.9371  1 P 1.57
O 0.8999 0.5000 0.7138  1 P 1.55